The following is a PBE calculation of crystalline MgReRh4 at its relaxed geometry, from the Alexandria database.

Values from the calculation:
Total moment (μB/atom): 0.000
Energy relative to the elements (eV per atom): 0.23
N(E_F) (states/eV per cell): 7.60
Symmetry: No. 216
Calculated volume (Å³/atom): 15.5

Cell: 5.0845 5.0845 5.0845 Å, 60.00 60.00 60.00°
Closest atoms and distances in Å follow each position.
Element x y z (fractional)
Rh 0.3752 0.3752 0.3752  6 Rh 2.54-2.55
Rh 0.8744 0.3752 0.3752  6 Rh 2.54-2.55
Rh 0.3752 0.8744 0.3752  6 Rh 2.54-2.55
Rh 0.3752 0.3752 0.8744  6 Rh 2.54-2.55
Re 0.0000 0.0000 0.0000  12 Rh 2.98, 4 Mg 3.11
Mg 0.7500 0.7500 0.7500  12 Rh 2.98, 4 Re 3.11

---

The following is a PBE calculation of crystalline BaNi2Te at its relaxed geometry, from the Alexandria database.

Values from the calculation:
Total moment (μB/atom): 0.070
N(E_F) (states/eV per cell): 5.65
Symmetry: No. 47
Calculated volume (Å³/atom): 26.4
Formation energy without anion corrections (eV per formula unit): -1.07

Cell: 4.2469 4.9480 5.0287 Å, 89.98 90.00 90.00°
Closest atoms and distances in Å follow each position.
Element x y z (fractional)
Ni 0.0000 0.2494 0.9837  1 Ni 2.35, 2 Te 2.51
Ni 0.0000 0.2506 0.5163  1 Ni 2.35, 2 Te 2.51
Ba 0.5000 0.7500 0.7500  8 Ni 3.46-3.47, 4 Te 3.53
Te 0.5000 0.2500 0.2500  4 Ni 2.51

---

The following is a PBE calculation of crystalline Pu2GaSiPt6 at its relaxed geometry, from the Alexandria database.

Values from the calculation:
Total moment (μB/atom): 1.072
N(E_F) (states/eV per cell): 61.61
Symmetry: No. 59
Calculated volume (Å³/atom): 19.7
Formation energy without anion corrections (eV per formula unit): -7.25

Cell: 5.5489 8.2601 8.6009 Å, 90.00 90.00 90.00°
Closest atoms and distances in Å follow each position.
Element x y z (fractional)
Pt 0.2494 0.4775 0.5000  1 Si 2.37, 1 Ga 2.49
Pt 0.7494 0.5225 0.0000  1 Si 2.37, 1 Ga 2.49
Pt 0.7506 0.4775 0.5000  1 Si 2.37, 1 Ga 2.49
Pt 0.2513 0.0032 0.0000  1 Si 2.48, 1 Ga 2.61, 5 Pt 2.71-2.76
Pt 0.5000 0.1108 0.2511  1 Si 2.41, 1 Ga 2.54
Pt 0.2506 0.5225 0.0000  1 Si 2.37, 1 Ga 2.49
Pt 0.0000 0.8892 0.7511  1 Si 2.41, 1 Ga 2.54
Pt 0.5000 0.1108 0.7489  1 Si 2.41, 1 Ga 2.54
Pt 0.2487 0.9968 0.5000  1 Si 2.48, 1 Ga 2.61, 5 Pt 2.71-2.76
Pt 0.7487 0.0032 0.0000  1 Si 2.48, 1 Ga 2.61, 5 Pt 2.71-2.76
Pt 0.7513 0.9968 0.5000  1 Si 2.48, 1 Ga 2.61, 5 Pt 2.71-2.76
Pt 0.0000 0.8892 0.2489  1 Si 2.41, 1 Ga 2.54
Ga 0.5000 0.2718 0.0000  6 Pt 2.49-2.61
Ga 0.0000 0.7282 0.5000  6 Pt 2.49-2.61
Si 0.5000 0.2455 0.5000  6 Pt 2.37-2.48
Si 0.0000 0.7545 0.0000  6 Pt 2.37-2.48
Pu 0.0000 0.2741 0.7553  9 Pt 3.09-3.37
Pu 0.0000 0.2741 0.2447  9 Pt 3.09-3.37
Pu 0.5000 0.7259 0.7447  9 Pt 3.09-3.37
Pu 0.5000 0.7259 0.2553  9 Pt 3.09-3.37

---

The following is a PBE calculation of crystalline Hf7Ti2Sn3 at its relaxed geometry, from the Alexandria database.

Values from the calculation:
Total moment (μB/atom): 0.000
Energy relative to the elements (eV per atom): 0.06
N(E_F) (states/eV per cell): 12.81
Symmetry: No. 10
Offset from the most stable computed form (eV per atom): 0.051
Calculated volume (Å³/atom): 21.7

Cell: 3.0729 5.1056 17.1134 Å, 104.28 90.00 90.00°
Closest atoms and distances in Å follow each position.
Element x y z (fractional)
Sn 0.5000 0.5000 0.0000  8 Hf 2.98-3.00, 2 Sn 3.07
Sn 0.0000 0.8489 0.6289  2 Sn 3.07, 4 Ti 3.21-3.31, 8 Hf 3.25-3.42
Sn 0.0000 0.1511 0.3711  2 Sn 3.07, 4 Ti 3.21-3.31, 8 Hf 3.25-3.42
Hf 0.0000 0.0000 0.0000  4 Hf 2.97-3.07, 4 Sn 2.98
Hf 0.0000 0.4552 0.1466  2 Ti 2.86, 7 Hf 2.97-3.08, 2 Sn 3.00
Hf 0.0000 0.5448 0.8534  2 Ti 2.86, 7 Hf 2.97-3.08, 2 Sn 3.00
Hf 0.5000 0.2885 0.5441  1 Ti 2.73, 2 Hf 2.92-2.96
Hf 0.5000 0.7115 0.4559  1 Ti 2.73, 2 Hf 2.92-2.96
Hf 0.5000 0.0059 0.8134  2 Ti 3.02-3.16, 6 Hf 3.03-3.08
Hf 0.5000 0.9941 0.1866  2 Ti 3.02-3.16, 6 Hf 3.03-3.08
Ti 0.5000 0.4023 0.7083  4 Hf 2.73-3.02
Ti 0.5000 0.5977 0.2917  4 Hf 2.73-3.02

---

The following is a PBE calculation of crystalline Li5ZnCu2 at its relaxed geometry, from the Alexandria database.

Values from the calculation:
Total moment (μB/atom): 0.000
Energy relative to the elements (eV per atom): -0.05
N(E_F) (states/eV per cell): 4.59
Symmetry: No. 55
Offset from the most stable computed form (eV per atom): 0.000
Calculated volume (Å³/atom): 14.5

Cell: 3.6930 5.6102 11.1863 Å, 90.00 90.00 90.00°
Closest atoms and distances in Å follow each position.
Element x y z (fractional)
Cu 0.5000 0.7697 0.3854  2 Zn 2.59, 10 Li 2.69-2.90
Cu 0.5000 0.7303 0.8854  2 Zn 2.59, 10 Li 2.69-2.90
Cu 0.5000 0.2303 0.6146  2 Zn 2.59, 10 Li 2.69-2.90
Cu 0.5000 0.2697 0.1146  2 Zn 2.59, 10 Li 2.69-2.90
Li 0.5000 0.2456 0.8740  6 Li 2.67-2.73, 4 Cu 2.69-2.90, 2 Zn 2.73
Li 0.5000 0.2544 0.3740  6 Li 2.67-2.73, 4 Cu 2.69-2.90, 2 Zn 2.73
Li 0.0000 0.9873 0.7494  7 Li 2.67-2.81, 4 Cu 2.75-2.79, 1 Zn 2.79
Li 0.5000 0.7456 0.6260  6 Li 2.67-2.73, 4 Cu 2.69-2.90, 2 Zn 2.73
Li 0.0000 0.0127 0.2506  7 Li 2.67-2.81, 4 Cu 2.75-2.79, 1 Zn 2.79
Li 0.5000 0.7544 0.1260  6 Li 2.67-2.73, 4 Cu 2.69-2.90, 2 Zn 2.73
Li 0.0000 0.5127 0.2494  7 Li 2.67-2.81, 4 Cu 2.75-2.79, 1 Zn 2.79
Li 0.0000 0.0000 0.0000  6 Li 2.70-2.80, 4 Cu 2.71, 2 Zn 2.81
Li 0.0000 0.4873 0.7506  7 Li 2.67-2.81, 4 Cu 2.75-2.79, 1 Zn 2.79
Li 0.0000 0.5000 0.5000  6 Li 2.70-2.80, 4 Cu 2.71, 2 Zn 2.81
Zn 0.0000 0.5000 0.0000  4 Cu 2.59, 8 Li 2.73-2.81
Zn 0.0000 0.0000 0.5000  4 Cu 2.59, 8 Li 2.73-2.81

---

The following is a PBE calculation of crystalline NaIrAu2 at its relaxed geometry, from the Alexandria database.

Values from the calculation:
Total moment (μB/atom): 0.156
Energy relative to the elements (eV per atom): 0.60
N(E_F) (states/eV per cell): 8.34
Symmetry: No. 122
Offset from the most stable computed form (eV per atom): 0.324
Calculated volume (Å³/atom): 19.4

Cell: 4.0614 4.0614 9.8182 Å, 78.06 78.06 90.00°
Closest atoms and distances in Å follow each position.
Element x y z (fractional)
Au 0.8750 0.8885 0.7500  2 Ir 2.73, 2 Na 2.77, 4 Au 2.80-2.95
Au 0.1115 0.6250 0.2500  2 Ir 2.73, 2 Na 2.77, 4 Au 2.80-2.95
Au 0.6385 0.1250 0.2500  2 Ir 2.73, 2 Na 2.77, 4 Au 2.80-2.95
Au 0.3750 0.3615 0.7500  2 Ir 2.73, 2 Na 2.77, 4 Au 2.80-2.95
Ir 0.7500 0.2500 0.5000  4 Au 2.73, 4 Na 2.87
Ir 0.0000 0.0000 0.0000  4 Au 2.73, 4 Na 2.87
Na 0.2500 0.7500 0.5000  4 Au 2.77, 4 Ir 2.87
Na 0.5000 0.5000 0.0000  4 Au 2.77, 4 Ir 2.87

---

The following is a PBE calculation of crystalline Na2YMg2 at its relaxed geometry, from the Alexandria database.

Values from the calculation:
Total moment (μB/atom): 0.000
Energy relative to the elements (eV per atom): 0.19
N(E_F) (states/eV per cell): 9.46
Symmetry: No. 127
Offset from the most stable computed form (eV per atom): 0.004
Calculated volume (Å³/atom): 28.2

Cell: 9.0872 9.0872 3.4166 Å, 90.00 90.00 90.00°
Closest atoms and distances in Å follow each position.
Element x y z (fractional)
Y 0.0000 0.0000 0.0000  2 Y 3.42, 4 Na 3.64, 8 Mg 3.73
Y 0.5000 0.5000 0.0000  2 Y 3.42, 4 Na 3.64, 8 Mg 3.73
Na 0.3824 0.8824 0.0000  1 Na 3.02, 6 Mg 3.05-3.30
Na 0.8824 0.6176 0.0000  1 Na 3.02, 6 Mg 3.05-3.30
Na 0.6176 0.1176 0.0000  1 Na 3.02, 6 Mg 3.05-3.30
Na 0.1176 0.3824 0.0000  1 Na 3.02, 6 Mg 3.05-3.30
Mg 0.6861 0.8139 0.5000  6 Na 3.05-3.30
Mg 0.1861 0.6861 0.5000  6 Na 3.05-3.30
Mg 0.8139 0.3139 0.5000  6 Na 3.05-3.30
Mg 0.3139 0.1861 0.5000  6 Na 3.05-3.30

---

The following is a PBE calculation of crystalline SrSbAu at its relaxed geometry, from the Alexandria database.

Values from the calculation:
Total moment (μB/atom): 0.000
N(E_F) (states/eV per cell): 1.27
Symmetry: No. 194
Calculated volume (Å³/atom): 28.0
Formation energy without anion corrections (eV per formula unit): -1.17

Cell: 5.4572 5.4572 6.5150 Å, 90.00 90.00 120.00°
Closest atoms and distances in Å follow each position.
Element x y z (fractional)
Sr 0.6667 0.3333 0.7500  5 Sb 3.15-3.26
Sr 0.3333 0.6667 0.2500  5 Sb 3.15-3.26
Au 0.0000 0.0000 0.5000  2 Au 3.26, 6 Sb 3.55, 6 Sr 3.55
Au 0.0000 0.0000 0.0000  2 Au 3.26, 6 Sr 3.55, 6 Sb 3.55
Sb 0.6667 0.3333 0.2500  5 Sr 3.15-3.26
Sb 0.3333 0.6667 0.7500  5 Sr 3.15-3.26